# 1
A geometry-optimized Y2Ru structure. Source: the Alexandria database, functional GGA-PBEsol.

Symmetry   C2/m (12)
Fermi-level density of states   0.802 states/eV/atom
Energy of formation from the pure elements   -237 meV per atom
Total magnetic moment   0.000 μB/atom

abc: 3.8530 5.9080 7.0891
angles: 75.09 74.23 70.97
Fractional coordinates of all 6 atoms:
Y1 0.6772 0.7351 0.9105
Y2 0.9195 0.7850 0.3760
Y3 0.0805 0.2150 0.6240
Ru1 0.6291 0.4303 0.3116
Ru2 0.3709 0.5697 0.6884
Y4 0.3228 0.2649 0.0895

# 2
A geometry-optimized LaAgHg structure. Source: the Alexandria database, functional GGA-PBEsol.

Symmetry   I4mm (107)
Fermi-level density of states   0.519 states/eV/atom
Energy of formation from the pure elements   -351 meV per atom
Total magnetic moment   0.000 μB/atom

abc: 3.8460 3.8460 5.6409
angles: 109.93 109.93 90.00
Fractional coordinates of all 3 atoms:
Ag1 0.9887 0.9887 0.9775
Hg1 0.3454 0.3454 0.6908
La1 0.6659 0.6659 0.3317

# 3
A geometry-optimized AlCu structure. Source: the Alexandria database, functional GGA-PBEsol.

Symmetry   Pmmn (59)
Fermi-level density of states   0.205 states/eV/atom
Energy of formation from the pure elements   -146 meV per atom
Total magnetic moment   0.000 μB/atom

abc: 2.7220 4.3872 4.3896
angles: 90.00 90.00 90.00
Fractional coordinates of all 4 atoms:
Cu1 0.0000 0.1011 0.5000
Al1 0.0000 0.3944 0.0000
Al2 0.5000 0.6056 0.5000
Cu2 0.5000 0.8989 0.0000

# 4
A geometry-optimized Y2BiS structure. Source: the Alexandria database, functional GGA-PBEsol.

Symmetry   I-42d (122)
Fermi-level density of states   0.652 states/eV/atom
VASP energy   -6.56 eV per atom
Total magnetic moment   0.000 μB/atom

abc: 6.4519 6.4519 7.9633
angles: 113.90 113.90 90.00
Fractional coordinates of all 8 atoms:
Y1 0.1250 0.1723 0.7500
S1 0.7500 0.2500 0.5000
Y2 0.8277 0.3750 0.2500
Bi1 0.0000 0.0000 0.0000
S2 0.5000 0.5000 0.0000
Y3 0.4223 0.8750 0.2500
Bi2 0.2500 0.7500 0.5000
Y4 0.6250 0.5777 0.7500

# 5
A geometry-optimized KTiAl2 structure. Source: the Alexandria database, functional GGA-PBEsol.

Symmetry   I4_1/amd (141)
Fermi-level density of states   1.561 states/eV/atom
Energy of formation from the pure elements   826 meV per atom
Total magnetic moment   0.570 μB/atom

abc: 5.2235 5.2235 10.1296
angles: 104.94 104.94 90.00
Site moments in Bohr magnetons follow the coordinates.
Fractional coordinates of all 8 atoms:
Al1 0.1250 0.8750 0.7500  0.02
K1 0.5000 0.5000 0.0000  0.02
Ti1 0.0000 0.0000 0.0000  1.47
Al2 0.1250 0.3750 0.2500  0.02
Al3 0.6250 0.8750 0.7500  0.02
K2 0.7500 0.2500 0.5000  0.02
Al4 0.1250 0.8750 0.2500  0.02
Ti2 0.2500 0.7500 0.5000  1.47

# 6
A geometry-optimized Ba3W2O9 structure. Source: the Alexandria database, functional GGA-PBEsol.

Symmetry   R-3c (167)
Fermi-level density of states   0.000 states/eV/atom
VASP energy   -8.48 eV per atom
Total magnetic moment   0.000 μB/atom

abc: 7.4588 7.4588 7.4588
angles: 85.45 85.45 85.45
Fractional coordinates of all 28 atoms:
Ba1 0.7500 0.4201 0.0799
O1 0.6039 0.7500 0.8961
Ba2 0.4201 0.0799 0.7500
O2 0.4267 0.7521 0.5869
O3 0.7500 0.8961 0.6039
O4 0.7479 0.0733 0.9131
O5 0.9267 0.0869 0.2521
O6 0.3961 0.2500 0.1039
Ba3 0.5799 0.9201 0.2500
W1 0.3551 0.3551 0.3551
Ba4 0.0799 0.7500 0.4201
O7 0.5869 0.4267 0.7521
O8 0.0733 0.9131 0.7479
Ba5 0.9201 0.2500 0.5799
O9 0.2500 0.1039 0.3961
W2 0.1449 0.1449 0.1449
O10 0.8961 0.6039 0.7500
W3 0.6449 0.6449 0.6449
O11 0.2521 0.9267 0.0869
O12 0.9131 0.7479 0.0733
O13 0.0869 0.2521 0.9267
O14 0.7521 0.5869 0.4267
W4 0.8551 0.8551 0.8551
Ba6 0.2500 0.5799 0.9201
O15 0.1039 0.3961 0.2500
O16 0.5733 0.2479 0.4131
O17 0.2479 0.4131 0.5733
O18 0.4131 0.5733 0.2479

# 7
A geometry-optimized TlAsSCl2 structure. Source: the Alexandria database, functional GGA-PBEsol.

Symmetry   P4/mmm (123)
Fermi-level density of states   0.133 states/eV/atom
VASP energy   -3.65 eV per atom
Total magnetic moment   0.000 μB/atom

abc: 4.7533 5.0604 5.0604
angles: 90.00 90.00 90.00
Fractional coordinates of all 5 atoms:
Tl1 0.5000 0.5000 0.5000
Cl1 0.0000 0.0000 0.5000
S1 0.5000 0.0000 0.0000
As1 0.0000 0.0000 0.0000
Cl2 0.0000 0.5000 0.0000

# 8
A geometry-optimized MoIrRu2 structure. Source: the Alexandria database, functional GGA-PBEsol.

Symmetry   Cm (8)
Offset from the most stable computed form   142 meV/atom
Fermi-level density of states   1.078 states/eV/atom
Energy of formation from the pure elements   -31 meV per atom
Total magnetic moment   0.000 μB/atom

abc: 2.7049 4.6743 4.6877
angles: 99.79 106.77 90.00
Fractional coordinates of all 4 atoms:
Mo1 0.7502 0.2504 0.5004
Ru1 0.9980 0.9922 0.9960
Ir1 0.5006 0.5000 0.0013
Ru2 0.2511 0.7575 0.5023

# 9
A geometry-optimized RbTiTe2N structure. Source: the Alexandria database, functional GGA-PBEsol.

Symmetry   P4/mmm (123)
Fermi-level density of states   1.013 states/eV/atom
VASP energy   -3.20 eV per atom
Total magnetic moment   0.600 μB/atom

abc: 4.3006 5.9104 5.9104
angles: 90.00 90.00 90.00
Site moments in Bohr magnetons follow the coordinates.
Fractional coordinates of all 5 atoms:
Rb1 0.0000 0.0000 0.0000  -0.01
Ti1 0.5000 0.5000 0.5000  1.63
Te1 0.0000 0.0000 0.5000  -0.08
Te2 0.0000 0.5000 0.0000  -0.08
N1 0.5000 0.0000 0.0000  0.89

# 10
A geometry-optimized CaPb2Br structure. Source: the Alexandria database, functional GGA-PBEsol.

Symmetry   Fm-3m (225)
Offset from the most stable computed form   231 meV/atom
Fermi-level density of states   0.674 states/eV/atom
Total magnetic moment   0.000 μB/atom

abc: 5.4904 5.4904 5.4904
angles: 60.00 60.00 60.00
Fractional coordinates of all 4 atoms:
Br1 0.0000 0.0000 0.0000
Pb1 0.2500 0.2500 0.2500
Ca1 0.5000 0.5000 0.5000
Pb2 0.7500 0.7500 0.7500

# 11
A geometry-optimized CaMn2P4O14 structure. Source: the Alexandria database, functional GGA-PBEsol.

Symmetry   P1 (1)
VASP energy   -7.82 eV per atom
Total magnetic moment   0.381 μB/atom

abc: 6.1638 6.1653 7.5432
angles: 86.03 64.74 83.21
Site moments in Bohr magnetons follow the coordinates.
Fractional coordinates of all 21 atoms:
Ca1 0.3578 0.3389 0.5652  0.00
O1 0.0286 0.8549 0.3321  0.02
P1 0.6367 0.1160 0.1520  0.02
O2 0.0432 0.4597 0.2596  0.03
O3 0.9540 0.5387 0.7356  0.01
P2 0.1963 0.6448 0.2481  0.01
O4 0.9747 0.1556 0.6737  0.01
O5 0.6029 0.4057 0.6902  0.01
P3 0.7885 0.3561 0.7668  0.01
O6 0.2421 0.8098 0.7286  0.01
O7 0.6637 0.3148 0.9979  0.01
O8 0.3722 0.5872 0.3362  0.01
O9 0.2339 0.0954 0.9594  0.07
O10 0.3438 0.6919 0.0162  0.01
O11 0.7549 0.9100 0.0405  0.07
P4 0.3570 0.8802 0.8587  0.01
O12 0.7387 0.1826 0.2926  0.01
O13 0.3642 0.1236 0.2869  0.01
O14 0.6265 0.8914 0.7260  0.02
Mn1 0.0672 0.1529 0.2597  3.59
Mn2 0.9232 0.8506 0.7458  3.61

# 12
A geometry-optimized Cr2NiB2 structure. Source: the Alexandria database, functional GGA-PBEsol.

Symmetry   P4/mbm (127)
Fermi-level density of states   0.569 states/eV/atom
Energy of formation from the pure elements   -454 meV per atom
Total magnetic moment   0.000 μB/atom

abc: 2.9803 5.3442 5.3442
angles: 90.00 90.00 90.00
Fractional coordinates of all 10 atoms:
Ni1 0.0000 0.5000 0.5000
Cr1 0.5000 0.3256 0.1744
B1 0.0000 0.6166 0.1166
B2 0.0000 0.3834 0.8834
Cr2 0.5000 0.6744 0.8256
B3 0.0000 0.1166 0.3834
Cr3 0.5000 0.1744 0.6744
Ni2 0.0000 0.0000 0.0000
B4 0.0000 0.8834 0.6166
Cr4 0.5000 0.8256 0.3256

# 13
A geometry-optimized CaNiIr2 structure. Source: the Alexandria database, functional GGA-PBEsol.

Symmetry   Imm2 (44)
Offset from the most stable computed form   61 meV/atom
Fermi-level density of states   1.534 states/eV/atom
Energy of formation from the pure elements   214 meV per atom
Total magnetic moment   0.009 μB/atom

abc: 2.8001 4.6087 5.5057
angles: 114.74 104.73 90.00
Fractional coordinates of all 4 atoms:
Ir1 0.7550 0.2550 0.5100
Ni1 0.4748 0.4748 0.9495
Ir2 0.0256 0.0256 0.0512
Ca1 0.2446 0.7446 0.4893

# 14
A geometry-optimized Ba2AgSb structure. Source: the Alexandria database, functional GGA-PBEsol.

Symmetry   Amm2 (38)
Fermi-level density of states   0.358 states/eV/atom
VASP energy   -3.70 eV per atom
Total magnetic moment   0.000 μB/atom

abc: 4.7606 4.8588 6.6983
angles: 90.00 110.82 90.00
Fractional coordinates of all 4 atoms:
Sb1 0.5531 0.0000 0.1061
Ba1 0.9884 0.5000 0.9768
Ba2 0.2645 0.0000 0.5291
Ag1 0.6940 0.5000 0.3880

# 15
A geometry-optimized SrLi2Tl2 structure. Source: the Alexandria database, functional GGA-PBEsol.

Symmetry   P4/mbm (127)
Offset from the most stable computed form   9 meV/atom
Fermi-level density of states   0.667 states/eV/atom
Energy of formation from the pure elements   -274 meV per atom
Total magnetic moment   0.000 μB/atom

abc: 3.4258 8.3897 8.3897
angles: 90.00 90.00 90.00
Fractional coordinates of all 10 atoms:
Tl1 0.5000 0.1739 0.6739
Tl2 0.5000 0.8261 0.3261
Tl3 0.5000 0.3261 0.1739
Li1 0.0000 0.1185 0.3815
Tl4 0.5000 0.6739 0.8261
Li2 0.0000 0.6185 0.1185
Sr1 0.0000 0.5000 0.5000
Li3 0.0000 0.3815 0.8815
Sr2 0.0000 0.0000 0.0000
Li4 0.0000 0.8815 0.6185

# 16
A geometry-optimized MgCdPb2 structure. Source: the Alexandria database, functional GGA-PBEsol.

Symmetry   Cmmm (65)
Offset from the most stable computed form   80 meV/atom
Fermi-level density of states   0.433 states/eV/atom
Energy of formation from the pure elements   52 meV per atom
Total magnetic moment   0.000 μB/atom

abc: 3.3560 3.3560 10.0509
angles: 90.00 90.00 111.03
Fractional coordinates of all 4 atoms:
Cd1 0.5000 0.5000 0.5000
Pb1 0.0000 0.0000 0.7522
Pb2 0.0000 0.0000 0.2478
Mg1 0.5000 0.5000 0.0000

# 17
A geometry-optimized Si2OsCl structure. Source: the Alexandria database, functional GGA-PBEsol.

Symmetry   P4mm (99)
Offset from the most stable computed form   193 meV/atom
Fermi-level density of states   0.573 states/eV/atom
Total magnetic moment   0.000 μB/atom

abc: 3.0437 3.0437 7.1060
angles: 90.00 90.00 90.00
Fractional coordinates of all 4 atoms:
Si1 0.0000 0.0000 0.9697
Os1 0.5000 0.5000 0.8106
Si2 0.5000 0.5000 0.1699
Cl1 0.0000 0.0000 0.5498

# 18
A geometry-optimized LaSiAg3 structure. Source: the Alexandria database, functional GGA-PBEsol.

Symmetry   Pm-3m (221)
Fermi-level density of states   0.900 states/eV/atom
VASP energy   -2.72 eV per atom
Total magnetic moment   0.001 μB/atom

abc: 5.3966 5.3966 5.3966
angles: 90.00 90.00 90.00
Fractional coordinates of all 5 atoms:
La1 0.0000 0.0000 0.0000
Ag1 0.0000 0.0000 0.5000
Ag2 0.0000 0.5000 0.0000
Ag3 0.5000 0.0000 0.0000
Si1 0.5000 0.5000 0.5000

# 19
A geometry-optimized ScCdGe2Te structure. Source: the Alexandria database, functional GGA-PBEsol.

Symmetry   P4/mmm (123)
Fermi-level density of states   0.590 states/eV/atom
VASP energy   -3.77 eV per atom
Total magnetic moment   0.000 μB/atom

abc: 4.8888 4.8888 5.5210
angles: 90.00 90.00 90.00
Fractional coordinates of all 5 atoms:
Cd1 0.0000 0.0000 0.0000
Sc1 0.0000 0.0000 0.5000
Ge1 0.5000 0.0000 0.0000
Te1 0.5000 0.5000 0.5000
Ge2 0.0000 0.5000 0.0000

# 20
A geometry-optimized MgTl2Hg structure. Source: the Alexandria database, functional GGA-PBEsol.

Symmetry   Cm (8)
Fermi-level density of states   0.414 states/eV/atom
Energy of formation from the pure elements   -59 meV per atom
Total magnetic moment   0.000 μB/atom

abc: 3.5434 5.4227 6.0675
angles: 115.31 106.98 90.00
Fractional coordinates of all 4 atoms:
Tl1 0.9854 0.9504 0.9707
Hg1 0.5190 0.4754 0.0380
Tl2 0.7602 0.2921 0.5203
Mg1 0.2355 0.7822 0.4710

# 21
A geometry-optimized LiHI2 structure. Source: the Alexandria database, functional GGA-PBEsol.

Symmetry   Fm-3m (225)
Fermi-level density of states   0.956 states/eV/atom
VASP energy   -2.05 eV per atom
Total magnetic moment   0.267 μB/atom

abc: 5.1177 5.1177 5.1177
angles: 60.00 60.00 60.00
Site moments in Bohr magnetons follow the coordinates.
Fractional coordinates of all 4 atoms:
H1 0.0000 0.0000 0.0000  0.33
I1 0.7500 0.7500 0.7500  0.08
I2 0.2500 0.2500 0.2500  0.08
Li1 0.5000 0.5000 0.5000  0.00

# 22
A geometry-optimized LiMgSi2 structure. Source: the Alexandria database, functional GGA-PBEsol.

Symmetry   R-3m (166)
Fermi-level density of states   0.390 states/eV/atom
VASP energy   -3.75 eV per atom
Total magnetic moment   0.000 μB/atom

abc: 2.9341 2.9341 8.7372
angles: 80.33 80.33 60.00
Fractional coordinates of all 4 atoms:
Si1 0.2478 0.2478 0.2566
Mg1 0.0000 0.0000 0.0000
Si2 0.7522 0.7522 0.7434
Li1 0.5000 0.5000 0.5000

# 23
A geometry-optimized MgTl2In structure. Source: the Alexandria database, functional GGA-PBEsol.

Symmetry   I4/mmm (139)
Fermi-level density of states   0.395 states/eV/atom
Energy of formation from the pure elements   -20 meV per atom
Total magnetic moment   0.000 μB/atom

abc: 4.6691 4.6691 5.7198
angles: 114.09 114.09 90.00
Fractional coordinates of all 4 atoms:
Tl1 0.7500 0.2500 0.5000
In1 0.5000 0.5000 0.0000
Mg1 0.0000 0.0000 0.0000
Tl2 0.2500 0.7500 0.5000

# 24
A geometry-optimized NaMoBr2 structure. Source: the Alexandria database, functional GGA-PBEsol.

Symmetry   I-42d (122)
Fermi-level density of states   0.722 states/eV/atom
VASP energy   -4.04 eV per atom
Total magnetic moment   0.000 μB/atom

abc: 5.6100 5.6100 7.9769
angles: 110.59 110.59 90.00
Fractional coordinates of all 8 atoms:
Mo1 0.2500 0.7500 0.5000
Br1 0.3158 0.8750 0.2500
Br2 0.6250 0.6842 0.7500
Br3 0.9342 0.3750 0.2500
Na1 0.5000 0.5000 0.0000
Mo2 0.0000 0.0000 0.0000
Na2 0.7500 0.2500 0.5000
Br4 0.1250 0.0658 0.7500

# 25
A geometry-optimized TeIN2Cl structure. Source: the Alexandria database, functional GGA-PBEsol.

Symmetry   P4/mmm (123)
Fermi-level density of states   0.630 states/eV/atom
VASP energy   -2.78 eV per atom
Total magnetic moment   0.733 μB/atom

abc: 4.4037 4.4037 5.7548
angles: 90.00 90.00 90.00
Site moments in Bohr magnetons follow the coordinates.
Fractional coordinates of all 5 atoms:
N1 0.0000 0.5000 0.0000  1.19
I1 0.5000 0.5000 0.5000  0.07
Te1 0.0000 0.0000 0.5000  0.02
N2 0.5000 0.0000 0.0000  1.19
Cl1 0.0000 0.0000 0.0000  0.02

# 26
A geometry-optimized BeRe2Hg structure. Source: the Alexandria database, functional GGA-PBEsol.

Symmetry   Pm (6)
Offset from the most stable computed form   0 meV/atom
Fermi-level density of states   0.286 states/eV/atom
Energy of formation from the pure elements   245 meV per atom
Total magnetic moment   0.000 μB/atom

abc: 2.9552 3.0173 6.7283
angles: 90.00 102.20 90.00
Fractional coordinates of all 4 atoms:
Re1 0.9640 0.0000 0.0499
Re2 0.5749 0.5000 0.2807
Be1 0.1520 0.0000 0.4409
Hg1 0.3092 0.5000 0.7286